Entry from Alexandria via LeMat-Bulk: a relaxed ScPaMnCo crystal (PBE).

It has space group F-43m (No. 216), with a = 6.466 Å, b = 6.466 Å, c = 6.466 Å, α = 90.00°, β = 90.00° and γ = 90.00°. The asymmetric unit holds Sc at (0.000, 0.000, 0.000), Pa at (0.000, 0.000, 0.500), Mn at (0.250, 0.250, 0.750) and Co at (0.250, 0.250, 0.250).



Entry from Alexandria via LeMat-Bulk: a relaxed Cs2SrNpF6 crystal (PBE).

It has space group C2/m (No. 12), with a = 11.885 Å, b = 6.868 Å, c = 6.911 Å, α = 90.00°, β = 124.94° and γ = 90.00°. The asymmetric unit holds Cs at (0.244, 0.000, 0.230), Sr at (0.000, 0.500, 0.000), Np at (0.000, 0.000, 0.500), F at (0.006, 0.242, 0.758) and F at (0.248, 0.000, 0.759).



no.,DOS at the Fermi energy (states/eV/atom),electronic total energy (eV per cell)
1,0.73,-130.05
2,0.50,-115.81